Density functional theory data (PBE with a Hubbard U) for a geometry-optimized LiCoSO structure.

Values from the calculation:
excess energy over the best structure of this formula in the dataset: 18 meV/atom
space-group type: Pca2_1
total energy: -4.9173 eV per atom

Cell lengths 4.9325, 7.8732, 4.9551 Å; angles 90.00, 90.00, 90.00 degrees
With the nearest neighbours (Å) after each atom.
Fractional positions:
O  0.5038  0.1097  0.6239  1 Co 1.78, 4 Li 1.95
Co  0.5112  0.3360  0.6172  1 O 1.78
Co  0.9888  0.3360  0.1172  1 O 1.78
S  0.4987  0.6280  0.6347  4 Co 2.30-2.55
Li  0.2504  0.0040  0.3742  4 O 1.95
Co  0.0112  0.6640  0.6172  1 O 1.78
S  0.9987  0.3720  0.6347  4 Co 2.30-2.55
O  0.4962  0.8903  0.1239  1 Co 1.78, 4 Li 1.95
Li  0.2496  0.0040  0.8742  4 O 1.95
O  0.9962  0.1097  0.1239  1 Co 1.78, 4 Li 1.95
Li  0.7496  0.9960  0.8742  4 O 1.95
S  0.0013  0.6280  0.1347  4 Co 2.30-2.55
S  0.5013  0.3720  0.1347  4 Co 2.30-2.55
Li  0.7504  0.9960  0.3742  4 O 1.95
Co  0.4888  0.6640  0.1172  1 O 1.78
O  0.0038  0.8903  0.6239  1 Co 1.78, 4 Li 1.95